1.
The following is a GGA-PBE calculation of crystalline TiAsS2N at its relaxed geometry, from Alexandria.

Properties
Crystal system: tetragonal
Calculated density: 4077 kg/m³
E_form (uncorrected): 0.592 eV/atom
Energy relative to the lowest polymorph listed for this composition: 2.39 eV/f.u.

a = 4.746 Å, b = 4.746 Å, c = 3.633 Å
α = 90.00°, β = 90.00°, γ = 90.00°
Positions (direct):
N (0.000, 0.000, 0.500)
S (0.500, 0.000, 0.000)
Ti (0.500, 0.500, 0.500)
S (0.000, 0.500, 0.000)
As (0.000, 0.000, 0.000)

2.
The following is a GGA-PBE calculation of crystalline KWSe3 at its relaxed geometry, from Alexandria.

Properties
Crystal system: cubic
Calculated density: 5965 kg/m³
E_form (uncorrected): -0.339 eV/atom
Energy relative to the lowest polymorph listed for this composition: 0.65 eV/f.u.

a = 5.040 Å, b = 5.040 Å, c = 5.040 Å
α = 90.00°, β = 90.00°, γ = 90.00°
Positions (direct):
Se (0.500, 0.000, 0.000)
Se (0.000, 0.000, 0.500)
W (0.000, 0.000, 0.000)
K (0.500, 0.500, 0.500)
Se (0.000, 0.500, 0.000)

3.
The following is a GGA-PBE calculation of crystalline DyMgCuS3 at its relaxed geometry, from Alexandria.

Properties
Crystal system: monoclinic
Calculated density: 5066 kg/m³
E_form (uncorrected): -1.369 eV/atom

a = 3.720 Å, b = 7.565 Å, c = 8.274 Å
α = 102.71°, β = 90.00°, γ = 90.00°
Positions (direct):
S (0.750, 0.908, 0.135)
Cu (0.750, 0.911, 0.415)
S (0.250, 0.756, 0.491)
Mg (0.250, 0.661, 0.160)
S (0.750, 0.244, 0.509)
Mg (0.750, 0.339, 0.840)
Dy (0.750, 0.813, 0.760)
S (0.250, 0.092, 0.865)
Dy (0.250, 0.187, 0.240)
S (0.250, 0.580, 0.845)
S (0.750, 0.420, 0.155)
Cu (0.250, 0.089, 0.585)

4.
The following is a GGA-PBE calculation of crystalline CdMo3 at its relaxed geometry, from Alexandria.

Properties
Crystal system: cubic
Calculated density: 10006 kg/m³
Energy relative to the lowest polymorph listed for this composition: 0.50 eV/f.u.

a = 5.102 Å, b = 5.102 Å, c = 5.102 Å
α = 90.00°, β = 90.00°, γ = 90.00°
Positions (direct):
Mo (0.500, 0.000, 0.750)
Mo (0.000, 0.750, 0.500)
Cd (0.500, 0.500, 0.500)
Mo (0.250, 0.500, 0.000)
Mo (0.500, 0.000, 0.250)
Cd (0.000, 0.000, 0.000)
Mo (0.750, 0.500, 0.000)
Mo (0.000, 0.250, 0.500)

5.
The following is a GGA-PBE calculation of crystalline Ti2GaHg2 at its relaxed geometry, from Alexandria.

Properties
Crystal system: tetragonal
Calculated density: 9628 kg/m³
Energy relative to the lowest polymorph listed for this composition: 0.58 eV/f.u.

a = 7.566 Å, b = 7.566 Å, c = 3.415 Å
α = 90.00°, β = 90.00°, γ = 90.00°
Positions (direct):
Hg (0.367, 0.867, 0.000)
Hg (0.633, 0.133, 0.000)
Ti (0.331, 0.169, 0.500)
Ga (0.500, 0.500, 0.000)
Ga (0.000, 0.000, 0.000)
Hg (0.133, 0.367, 0.000)
Ti (0.169, 0.669, 0.500)
Ti (0.831, 0.331, 0.500)
Hg (0.867, 0.633, 0.000)
Ti (0.669, 0.831, 0.500)

6.
The following is a GGA-PBE calculation of crystalline TlTcOsI2 at its relaxed geometry, from Alexandria.

Properties
Crystal system: tetragonal
Calculated density: 8243 kg/m³
E_form (uncorrected): 0.990 eV/atom

a = 5.624 Å, b = 4.754 Å, c = 5.624 Å
α = 90.00°, β = 90.00°, γ = 90.00°
Each line ends with the local moment (μB).
Positions (direct):
Tl (0.500, 0.500, 0.500)  0.01
Os (0.000, 0.500, 0.000)  1.24
I (0.500, 0.000, 0.000)  0.04
Tc (0.000, 0.000, 0.000)  0.70
I (0.000, 0.000, 0.500)  0.04

7.
The following is a GGA-PBE calculation of crystalline Ti3NbBr at its relaxed geometry, from Alexandria.

Properties
Crystal system: cubic
Calculated density: 5342 kg/m³
E_form (uncorrected): 0.568 eV/atom
Energy relative to the lowest polymorph listed for this composition: 0.00 eV/f.u.

a = 4.616 Å, b = 4.616 Å, c = 4.616 Å
α = 90.00°, β = 90.00°, γ = 90.00°
Positions (direct):
Ti (0.000, 0.500, 0.000)
Ti (0.000, 0.000, 0.500)
Br (0.000, 0.000, 0.000)
Nb (0.500, 0.500, 0.500)
Ti (0.500, 0.000, 0.000)

8.
The following is a GGA-PBE calculation of crystalline CaBr2O2 at its relaxed geometry, from Alexandria.

Properties
Crystal system: tetragonal
Calculated density: 3718 kg/m³
E_form (uncorrected): -0.162 eV/atom
Energy relative to the lowest polymorph listed for this composition: 4.00 eV/f.u.

a = 4.871 Å, b = 4.871 Å, c = 5.560 Å
α = 64.02°, β = 64.02°, γ = 90.00°
Positions (direct):
O (0.250, 0.750, 0.500)
Ca (0.000, 0.000, 0.000)
O (0.750, 0.250, 0.500)
Br (0.306, 0.306, 0.389)
Br (0.694, 0.694, 0.611)

| no. | spin magnetization (μB per cell) | final energy (eV per atom) |
| --- | --- | --- |
| 1 | 0.000 | -5.233 |
| 2 | 0.000 | -5.240 |
| 3 | 0.000 | -5.149 |
| 4 | 0.000 | -8.008 |
| 5 | 0.000 | -3.710 |
| 6 | 2.334 | -4.423 |
| 7 | 0.000 | -6.518 |
| 8 | 0.000 | -3.215 |